First-principles (GGA-PBE) data for a relaxed CsZn2F6 crystal, as listed in Alexandria.

abc: 10.018 4.210 8.402
angles: 90.00 111.30 90.00
Space group C2/m (No. 12)
Asymmetric unit:
Cs 0.000 0.000 0.000 (multiplicity 2)
Zn 0.166 0.000 0.577 (multiplicity 4)
F 0.005 0.000 0.354 (multiplicity 4)
F 0.192 0.500 0.546 (multiplicity 4)
F 0.212 0.500 0.191 (multiplicity 4)

Results
**Offset from the most stable computed form**: 28 meV per atom
**DOS at the Fermi energy**: 3.6 states/eV/f.u.
**Raw total energy**: -3.807 eV/atom
**ΔE_f (raw)**: -2.182 eV per atom
**Total magnetization**: 2.18 μB per cell

First-principles (GGA-PBE) data for a relaxed ZnRuRh crystal, as listed in Alexandria.

abc: 2.756 4.650 13.417
angles: 90.00 90.00 90.00
Space group Fmm2 (No. 42)
Asymmetric unit:
Zn 0.000 0.000 0.000 (multiplicity 4)
Ru 0.000 0.000 0.333 (multiplicity 4)
Rh 0.000 0.000 0.664 (multiplicity 4)

Results
**Offset from the most stable computed form**: 189 meV per atom
**DOS at the Fermi energy**: 3.5 states/eV/f.u.
**Raw total energy**: -5.852 eV/atom
**Total magnetization**: 2.74 μB per cell

First-principles (GGA-PBE) data for a relaxed LiTlRe2 crystal, as listed in Alexandria.

abc: 6.333 6.333 6.333
angles: 90.00 90.00 90.00
Space group F-43m (No. 216)
Asymmetric unit:
Li 0.000 0.000 0.000 (multiplicity 4)
Tl 0.250 0.250 0.750 (multiplicity 4)
Re 0.000 0.000 0.500 (multiplicity 4)
Re 0.250 0.250 0.250 (multiplicity 4)

Results
**Offset from the most stable computed form**: 234 meV per atom
**DOS at the Fermi energy**: 1.3 states/eV/f.u.
**Raw total energy**: -6.790 eV/atom
**Total magnetization**: 0.00 μB per cell

First-principles (GGA-PBE) data for a relaxed AlCo2Se crystal, as listed in Alexandria.

abc: 4.105 4.105 3.059
angles: 90.00 90.00 90.00
Space group P4/mmm (No. 123)
Asymmetric unit:
Al 0.000 0.000 0.000 (multiplicity 1)
Co 0.000 0.500 0.500 (multiplicity 2)
Se 0.500 0.500 0.000 (multiplicity 1)

Results
**Offset from the most stable computed form**: 57 meV per atom
**DOS at the Fermi energy**: 2.6 states/eV/f.u.
**Raw total energy**: -5.394 eV/atom
**ΔE_f (raw)**: -0.034 eV per atom
**Total magnetization**: 1.50 μB per cell

First-principles (GGA-PBE) data for a relaxed MgSiTc3 crystal, as listed in Alexandria.

abc: 4.441 4.441 4.441
angles: 90.00 90.00 90.00
Space group Pm-3m (No. 221)
Asymmetric unit:
Mg 0.000 0.000 0.000 (multiplicity 1)
Si 0.500 0.500 0.500 (multiplicity 1)
Tc 0.000 0.000 0.500 (multiplicity 3)

Results
**Offset from the most stable computed form**: 1373 meV per atom
**DOS at the Fermi energy**: 11.4 states/eV/f.u.
**Raw total energy**: -5.560 eV/atom
**ΔE_f (raw)**: 2.064 eV per atom
**Total magnetization**: 0.00 μB per cell

First-principles (GGA-PBE) data for a relaxed U2CoP3Ir4 crystal, as listed in Alexandria.

abc: 4.004 4.004 10.060
angles: 90.00 90.00 90.00
Space group P-4m2 (No. 115)
Asymmetric unit:
U 0.000 0.500 0.246 (multiplicity 2)
Co 0.500 0.500 0.000 (multiplicity 1)
P 0.000 0.000 0.000 (multiplicity 1)
P 0.000 0.500 0.637 (multiplicity 2)
Ir 0.000 0.000 0.500 (multiplicity 1)
Ir 0.000 0.500 0.866 (multiplicity 2)
Ir 0.500 0.500 0.500 (multiplicity 1)

Results
**DOS at the Fermi energy**: 18.0 states/eV/f.u.
**Raw total energy**: -8.733 eV/atom
**Total magnetization**: 4.99 μB per cell

First-principles (GGA-PBE) data for a relaxed La2TmCl crystal, as listed in Alexandria.

abc: 3.6977 3.6977 31.6568
angles: 90.00 90.00 120.00
Space group R-3m (No. 166, hexagonal axes)
Asymmetric unit:
La 0.0000 0.0000 0.2408 (multiplicity 6)
Tm 0.0000 0.0000 0.0000 (multiplicity 3)
Cl 0.0000 0.0000 0.5000 (multiplicity 3)

Results
**DOS at the Fermi energy**: 4.2 states/eV/f.u.
**Raw total energy**: -4.717 eV/atom
**ΔE_f (raw)**: -0.674 eV per atom
**Total magnetization**: 0.02 μB per cell

First-principles (GGA-PBE) data for a relaxed P2WCl crystal, as listed in Alexandria.

abc: 7.146 6.921 2.820
angles: 90.00 108.84 90.00
Space group C2/m (No. 12)
Asymmetric unit:
P 0.250 0.250 0.000 (multiplicity 4)
W 0.000 0.000 0.000 (multiplicity 2)
Cl 0.000 0.500 0.000 (multiplicity 2)

Results
**Offset from the most stable computed form**: 663 meV per atom
**DOS at the Fermi energy**: 2.5 states/eV/f.u.
**Raw total energy**: -5.873 eV/atom
**ΔE_f (raw)**: 0.532 eV per atom
**Total magnetization**: 0.00 μB per cell

First-principles (GGA-PBE) data for a relaxed Ba6Na2LiPt crystal, as listed in Alexandria.

abc: 8.050 10.053 14.424
angles: 90.00 118.98 90.00
Space group P2_1/c (No. 14)
Asymmetric unit:
Ba 0.102 0.037 0.238 (multiplicity 4)
Ba 0.182 0.712 0.052 (multiplicity 4)
Ba 0.376 0.155 0.042 (multiplicity 4)
Na 0.347 0.104 0.736 (multiplicity 4)
Li 0.500 0.000 0.500 (multiplicity 2)
Pt 0.000 0.000 0.000 (multiplicity 2)

Results
**DOS at the Fermi energy**: 8.4 states/eV/f.u.
**Raw total energy**: -2.369 eV/atom
**Total magnetization**: 0.00 μB per cell

First-principles (GGA-PBE) data for a relaxed ZnCrRe2 crystal, as listed in Alexandria.

abc: 3.835 3.835 7.613
angles: 90.00 90.00 90.00
Space group I-4m2 (No. 119)
Asymmetric unit:
Zn 0.000 0.000 0.000 (multiplicity 2)
Cr 0.000 0.500 0.750 (multiplicity 2)
Re 0.000 0.000 0.500 (multiplicity 2)
Re 0.000 0.500 0.250 (multiplicity 2)

Results
**DOS at the Fermi energy**: 3.3 states/eV/f.u.
**Raw total energy**: -8.691 eV/atom
**Total magnetization**: 2.44 μB per cell

First-principles (GGA-PBE) data for a relaxed MnTcP crystal, as listed in Alexandria.

abc: 2.788 3.749 7.144
angles: 90.00 90.00 90.00
Space group Imm2 (No. 44)
Asymmetric unit:
Mn 0.000 0.000 0.000 (multiplicity 2)
Tc 0.000 0.000 0.659 (multiplicity 2)
P 0.000 0.000 0.326 (multiplicity 2)

Results
**Offset from the most stable computed form**: 384 meV per atom
**DOS at the Fermi energy**: 2.6 states/eV/f.u.
**Raw total energy**: -8.393 eV/atom
**Total magnetization**: 0.00 μB per cell

First-principles (GGA-PBE) data for a relaxed SrAsP2 crystal, as listed in Alexandria.

abc: 4.627 4.627 7.974
angles: 90.00 90.00 90.00
Space group I4/mmm (No. 139)
Asymmetric unit:
Sr 0.000 0.000 0.000 (multiplicity 2)
As 0.000 0.000 0.500 (multiplicity 2)
P 0.000 0.500 0.250 (multiplicity 4)

Results
**DOS at the Fermi energy**: 1.2 states/eV/f.u.
**Raw total energy**: -4.250 eV/atom
**Total magnetization**: 0.00 μB per cell